Density functional theory data (GGA+U) for a relaxed VPdO3 crystal.

Calculated values
**Calculated volume**: 55.16 Å³ per cell
**Magnetic moment**: 1.01 Bohr magnetons per cell
**Theoretical density**: 6.182 Mg/m³
**Final energy**: -6.385 eV per atom

```
data_VPdO3
_chemical_formula_sum 'V1 Pd1 O3'
_cell_length_a 3.807
_cell_length_b 3.807
_cell_length_c 3.807
_cell_angle_alpha 90.00
_cell_angle_beta 90.00
_cell_angle_gamma 90.00
_space_group_name_H-M_alt 'P m -3 m'
_space_group_IT_number 221
_space_group_name_Hall '-P 4 2 3'
loop_
_atom_site_label
_atom_site_type_symbol
_atom_site_fract_x
_atom_site_fract_y
_atom_site_fract_z
_atom_site_occupancy
V1 V 0.000 0.000 0.000 1
Pd1 Pd 0.500 0.500 0.500 1
O1 O 0.000 0.000 0.500 1
```